No. 1
Density functional theory data (PBE) for a relaxed Ba2YTi crystal.

The structure in CIF format:
```
data_Ba2YTi
_chemical_formula_sum 'Ba8 Y4 Ti4'
_cell_length_a 8.3949
_cell_length_b 8.3949
_cell_length_c 8.3949
_cell_angle_alpha 90.00
_cell_angle_beta 90.00
_cell_angle_gamma 90.00
_symmetry_space_group_name_H-M 'F m -3 m'
_symmetry_Int_Tables_number 225
_symmetry_space_group_name_Hall '-F 4 2 3'
loop_
_atom_site_label
_atom_site_type_symbol
_atom_site_fract_x
_atom_site_fract_y
_atom_site_fract_z
Ba1 Ba 0.2500 0.2500 0.2500
Y1 Y 0.0000 0.0000 0.0000
Ti1 Ti 0.0000 0.0000 0.5000
```

Computed properties:
Its energy above the most stable polymorph in this dataset is 0 meV per atom. The volume comes out at 591.6 Å³/cell. The electronic total energy comes out at -3.812 eV/atom. As for the size of the total moment: 0.00 μB per cell.

---

No. 2
Density functional theory data (PBE) for a relaxed Y2Si4NiIr3 crystal.

The structure in CIF format:
```
data_Y2Si4NiIr3
_chemical_formula_sum 'Y2 Si4 Ni1 Ir3'
_cell_length_a 4.0883
_cell_length_b 4.0883
_cell_length_c 9.9280
_cell_angle_alpha 90.00
_cell_angle_beta 90.00
_cell_angle_gamma 90.00
_symmetry_space_group_name_H-M 'P -4 m 2'
_symmetry_Int_Tables_number 115
loop_
_symmetry_equiv_pos_as_xyz
'x,y,z'
'y,-x,-z'
'-x,-y,z'
'-y,x,-z'
'-x,y,z'
'-y,-x,-z'
'x,-y,z'
'y,x,-z'
loop_
_atom_site_label
_atom_site_type_symbol
_atom_site_fract_x
_atom_site_fract_y
_atom_site_fract_z
Y1 Y 0.0000 0.5000 0.2478
Si1 Si 0.0000 0.0000 0.0000
Si2 Si 0.0000 0.5000 0.6293
Si3 Si 0.5000 0.5000 0.0000
Ni1 Ni 0.0000 0.0000 0.5000
Ir1 Ir 0.0000 0.5000 0.8700
Ir2 Ir 0.5000 0.5000 0.5000
```

Computed properties:
The volume comes out at 165.9 Å³/cell. The electronic total energy comes out at -7.670 eV/atom. As for the formation energy (no corrections): -0.9714 eV per atom. As for the size of the total moment: 0.00 μB per cell.

---

No. 3
Density functional theory data (PBE) for a relaxed Fe2BiPt crystal.

The structure in CIF format:
```
data_Fe2BiPt
_chemical_formula_sum 'Fe8 Bi4 Pt4'
_cell_length_a 4.0527
_cell_length_b 4.0527
_cell_length_c 18.4458
_cell_angle_alpha 90.00
_cell_angle_beta 90.00
_cell_angle_gamma 90.00
_symmetry_space_group_name_H-M 'I -4 2 d'
_symmetry_Int_Tables_number 122
_symmetry_space_group_name_Hall 'I -4 2bw'
loop_
_atom_site_label
_atom_site_type_symbol
_atom_site_fract_x
_atom_site_fract_y
_atom_site_fract_z
Fe1 Fe 0.1763 0.2500 0.1250
Bi1 Bi 0.0000 0.0000 0.5000
Pt1 Pt 0.0000 0.0000 0.0000
```

Computed properties:
The volume comes out at 303.0 Å³/cell. The electronic total energy comes out at -6.257 eV/atom. As for the size of the total moment: 22.52 μB per cell.